# 1
DFT (PBE) results for an optimized crystal structure of SmErAlCu.

Cell: 5.0759 5.0759 5.0759 Å, 60.00 60.00 60.00°
With the nearest neighbours (Å) after each atom.
Fractional coordinates of all 4 atoms:
1 Sm 0.0000 0.0000 0.0000  4 Cu 3.11, 4 Al 3.11
2 Er 0.5000 0.5000 0.5000  4 Al 3.11, 4 Cu 3.11
3 Al 0.7500 0.7500 0.7500  4 Sm 3.11, 4 Er 3.11
4 Cu 0.2500 0.2500 0.2500  4 Er 3.11, 4 Sm 3.11

Summary:
ΔH_f (0 K), eV per atom: -0.2612
SG: F-43m (216)

# 2
DFT (PBE) results for an optimized crystal structure of CaZnCd2.

Cell: 5.7785 5.7785 5.1032 Å, 115.65 115.65 38.85°
With the nearest neighbours (Å) after each atom.
Fractional coordinates of all 4 atoms:
1 Ca 0.0000 0.0000 0.0000  4 Zn 3.19, 8 Cd 3.30-3.36
2 Zn 0.5000 0.5000 0.5000  4 Cd 2.89, 4 Ca 3.19
3 Cd 0.2229 0.2229 0.7227  2 Zn 2.89, 2 Cd 3.23
4 Cd 0.7771 0.7771 0.2773  2 Zn 2.89, 2 Cd 3.23

Summary:
ΔH_f (0 K), eV per atom: -0.1726
SG: C2/m (12)